DFT (PBE) results for a relaxed structure of ZrVIn.

Lattice parameters (Å, degrees): 4.2135 4.2135 26.9639 90.00 90.00 120.00
Space group R-3m (No. 166, hexagonal axes)
One atom of each set of equivalent atoms:
Zr  0.0000  0.0000  0.0860 x6
V  0.0000  0.0000  0.1857 x6
In  0.0000  0.0000  0.3090 x6

Values from the calculation:
formation energy from the elements = 584 meV per atom
energy above the lowest structure with this stoichiometry = 563 meV per atom

DFT (PBE) results for a relaxed structure of SrCa2TcO.

Lattice parameters (Å, degrees): 4.7215 4.7215 5.1790 90.00 90.00 90.00
Space group P4/mmm (No. 123)
One atom of each set of equivalent atoms:
Sr  0.0000  0.0000  0.0000 x1
Ca  0.0000  0.5000  0.5000 x2
Tc  0.5000  0.5000  0.0000 x1
O  0.0000  0.0000  0.5000 x1

Values from the calculation:
E_form (uncorrected) = -0.61 eV/atom

DFT (PBE) results for a relaxed structure of ReSnPd3.

Lattice parameters (Å, degrees): 4.8683 4.8683 4.8683 90.00 90.00 90.00
Space group Pm-3m (No. 221)
One atom of each set of equivalent atoms:
Re  0.0000  0.0000  0.0000 x1
Sn  0.5000  0.5000  0.5000 x1
Pd  0.0000  0.5000  0.5000 x3

Values from the calculation:
formation energy from the elements = 1377 meV per atom
energy above the lowest structure with this stoichiometry = 380 meV per atom

DFT (PBE) results for a relaxed structure of Ca2TaSb.

Lattice parameters (Å, degrees): 7.2833 7.2833 7.2833 90.00 90.00 90.00
Space group F-43m (No. 216)
One atom of each set of equivalent atoms:
Ca  0.0000  0.0000  0.0000 x4
Ca  0.2500  0.2500  0.2500 x4
Ta  0.2500  0.2500  0.7500 x4
Sb  0.0000  0.0000  0.5000 x4

Values from the calculation:
E_form (uncorrected) = 0.34 eV/atom

DFT (PBE) results for a relaxed structure of VCrIn3.

Lattice parameters (Å, degrees): 5.2104 5.2104 5.2104 90.00 90.00 90.00
Space group Pm-3m (No. 221)
One atom of each set of equivalent atoms:
V  0.0000  0.0000  0.0000 x1
Cr  0.5000  0.5000  0.5000 x1
In  0.0000  0.0000  0.5000 x3

Values from the calculation:
formation energy from the elements = 844 meV per atom
energy above the lowest structure with this stoichiometry = 0 meV per atom

DFT (PBE) results for a relaxed structure of Sm2Dy3Sn4.

Lattice parameters (Å, degrees): 8.3408 8.3085 8.0167 90.00 110.90 90.00
Space group P2_1/c (No. 14)
One atom of each set of equivalent atoms:
Sm  0.1932  0.1791  0.0609 x4
Dy  0.2457  0.6673  0.2379 x4
Dy  0.5000  0.0000  0.5000 x2
Sn  0.0829  0.5376  0.8356 x4
Sn  0.4871  0.1355  0.8638 x4

Values from the calculation:
formation energy from the elements = -778 meV per atom

DFT (PBE) results for a relaxed structure of LaThN.

Lattice parameters (Å, degrees): 6.3224 6.3224 6.3224 90.00 90.00 90.00
Space group F-43m (No. 216)
One atom of each set of equivalent atoms:
La  0.0000  0.0000  0.0000 x4
Th  0.0000  0.0000  0.5000 x4
N  0.2500  0.2500  0.7500 x4

Values from the calculation:
energy above the lowest structure with this stoichiometry = 704 meV per atom
E_form (uncorrected) = -0.23 eV/atom

DFT (PBE) results for a relaxed structure of Pa2TlAgO8.

Lattice parameters (Å, degrees): 5.2525 6.8924 5.2560 90.00 94.34 90.00
Space group P2/m (No. 10)
One atom of each set of equivalent atoms:
Pa  0.0000  0.2461  0.0000 x2
Tl  0.5000  0.5000  0.5000 x1
Ag  0.5000  0.0000  0.5000 x1
O  0.1661  0.0000  0.8357 x2
O  0.1729  0.5000  0.8283 x2
O  0.3123  0.2328  0.3140 x4

Values from the calculation:
E_form (uncorrected) = -2.13 eV/atom

DFT (PBE) results for a relaxed structure of DyTh2Ti.

Lattice parameters (Å, degrees): 3.3560 3.3560 35.4340 90.00 90.00 120.00
Space group R-3m (No. 166, hexagonal axes)
One atom of each set of equivalent atoms:
Dy  0.0000  0.0000  0.0000 x3
Th  0.0000  0.0000  0.4193 x6
Ti  0.0000  0.0000  0.5000 x3

Values from the calculation:
formation energy from the elements = 436 meV per atom
energy above the lowest structure with this stoichiometry = 304 meV per atom

DFT (PBE) results for a relaxed structure of NaCaGa4.

Lattice parameters (Å, degrees): 4.4625 7.3758 7.7521 90.00 90.00 90.00
Space group Imm2 (No. 44)
One atom of each set of equivalent atoms:
Na  0.0000  0.0000  0.0000 x2
Ca  0.0000  0.5000  0.8876 x2
Ga  0.0000  0.1874  0.6016 x4
Ga  0.0000  0.3142  0.2806 x4

Values from the calculation:
formation energy from the elements = -347 meV per atom

DFT (PBE) results for a relaxed structure of Mo3Ru.

Lattice parameters (Å, degrees): 5.6142 5.6142 9.0468 90.00 90.00 120.00
Space group P6_3/mmc (No. 194)
One atom of each set of equivalent atoms:
Mo  0.0000  0.5000  0.0000 x6
Mo  0.1670  0.3340  0.2500 x6
Ru  0.0000  0.0000  0.0000 x2
Ru  0.3333  0.6667  0.7500 x2

Values from the calculation:
formation energy from the elements = 201 meV per atom

DFT (PBE) results for a relaxed structure of TcSnHF.

Lattice parameters (Å, degrees): 10.1730 2.9625 4.1379 90.00 99.94 90.00
Space group Cm (No. 8)
One atom of each set of equivalent atoms:
Tc  0.0000  0.0000  0.0000 x2
Sn  0.3928  0.0000  0.4519 x2
H  0.0897  0.5000  0.8949 x2
F  0.1805  0.0000  0.3811 x2

Values from the calculation:
energy above the lowest structure with this stoichiometry = 33 meV per atom

DFT (PBE) results for a relaxed structure of Zr2BeAg.

Lattice parameters (Å, degrees): 3.9921 3.9921 20.0996 90.00 90.00 90.00
Space group I-42d (No. 122)
One atom of each set of equivalent atoms:
Zr  0.2388  0.2500  0.1250 x8
Be  0.0000  0.0000  0.0000 x4
Ag  0.0000  0.0000  0.5000 x4

Values from the calculation:
formation energy from the elements = 654 meV per atom

DFT (PBE) results for a relaxed structure of Ac2TlHg4.

Lattice parameters (Å, degrees): 5.5566 5.5566 23.8466 90.00 90.00 120.00
Space group R-3m (No. 166, hexagonal axes)
One atom of each set of equivalent atoms:
Ac  0.0000  0.0000  0.2285 x6
Tl  0.0000  0.0000  0.5000 x3
Hg  0.0000  0.0000  0.0670 x6
Hg  0.0000  0.0000  0.3683 x6

Values from the calculation:
formation energy from the elements = -348 meV per atom
energy above the lowest structure with this stoichiometry = 0 meV per atom

DFT (PBE) results for a relaxed structure of Ag2CBr2O2.

Lattice parameters (Å, degrees): 7.8501 4.5700 11.1043 90.00 101.22 90.00
Space group C2/m (No. 12)
One atom of each set of equivalent atoms:
Ag  0.1561  0.0000  0.1008 x4
C  0.0000  0.5000  0.5000 x2
Br  0.1587  0.0000  0.8362 x4
O  0.1007  0.5000  0.4342 x4

Values from the calculation:
E_form (uncorrected) = -0.73 eV/atom

Number 1: E -111.9 eV per cell, Fermi-level density of states 2.97 states/eV/f.u.. Number 2: E -24.1 eV per cell, Fermi-level density of states 4.80 states/eV/f.u.. Number 3: E -25.1 eV per cell, Fermi-level density of states 3.59 states/eV/f.u.. Number 4: E -74.5 eV per cell, Fermi-level density of states 1.98 states/eV/f.u.. Number 5: E -22.7 eV per cell, Fermi-level density of states 3.06 states/eV/f.u.. Number 6: E -92.5 eV per cell, Fermi-level density of states 6.53 states/eV/f.u.. Number 7: E -85.5 eV per cell, Fermi-level density of states 2.54 states/eV/f.u.. Number 8: E -89.5 eV per cell, Fermi-level density of states 0.10 states/eV/f.u.. Number 9: E -76.8 eV per cell, Fermi-level density of states 6.40 states/eV/f.u.. Number 10: E -35.0 eV per cell, Fermi-level density of states 1.73 states/eV/f.u.. Number 11: E -163.9 eV per cell, Fermi-level density of states 4.88 states/eV/f.u.. Number 12: E -42.2 eV per cell, Fermi-level density of states 2.11 states/eV/f.u.. Number 13: E -84.2 eV per cell, Fermi-level density of states 4.16 states/eV/f.u.. Number 14: E -42.7 eV per cell, Fermi-level density of states 4.02 states/eV/f.u.. Number 15: E -66.6 eV per cell, Fermi-level density of states 0.00 states/eV/f.u..